1.
A plane-wave DFT calculation with PBE was carried out for Li2Hg2Pb3 after structural relaxation.

abc: 4.981 4.985 8.658
angles: 73.60 73.28 60.03
Sites, in units of the cell vectors:
Li (0.231, 0.729, 0.809)
Li (0.769, 0.271, 0.191)
Hg (0.100, 0.600, 0.201)
Hg (0.900, 0.400, 0.799)
Pb (0.500, 0.000, 0.000)
Pb (0.363, 0.863, 0.411)
Pb (0.637, 0.137, 0.589)

Its space group is C2/m, No. 12. The calculation puts the formation energy at -0.15 eV/atom. The spin magnetization comes out at 0.00 μB/f.u. The raw total energy is -2.3731 eV per atom.

2.
A plane-wave DFT calculation with PBE was carried out for Li8HgPb2 after structural relaxation.

abc: 4.813 6.369 8.129
angles: 113.03 107.22 90.00
Sites, in units of the cell vectors:
Li (0.346, 0.580, 0.692)
Li (0.654, 0.889, 0.309)
Li (0.825, 0.824, 0.649)
Li (0.000, 0.267, 0.000)
Li (0.175, 0.176, 0.351)
Li (0.346, 0.111, 0.691)
Li (0.654, 0.420, 0.308)
Li (0.000, 0.733, 0.000)
Hg (0.500, 0.000, 0.000)
Pb (0.820, 0.320, 0.640)
Pb (0.180, 0.680, 0.360)

Its space group is Immm, No. 71. The calculation puts the formation energy at -0.28 eV/atom. The spin magnetization comes out at 0.00 μB/f.u. The raw total energy is -2.3729 eV per atom.